No. 1
This record from the Alexandria database describes a geometry-optimized K2TmTe2O6 structure. The functional is PBE.

a b c (Å): 6.9678 6.0251 6.5795
angles (deg): 107.03 90.00 125.33
With the nearest neighbours (Å) after each atom.
Fractional coordinates of all 11 atoms:
K  0.6805  0.3610  0.0871  5 O 2.67-2.97
K  0.3195  0.6390  0.9129  5 O 2.67-2.97
O  0.2559  0.5118  0.2898  1 Te 1.89
O  0.7497  0.0700  0.2761  1 Te 2.01, 1 Tm 2.21
O  0.2503  0.9300  0.7239  1 Te 2.01, 1 Tm 2.21
O  0.7441  0.4882  0.7102  1 Te 1.89
O  0.6797  0.9300  0.7239  1 Te 2.01, 1 Tm 2.21
O  0.3203  0.0700  0.2761  1 Te 2.01, 1 Tm 2.21
Te  0.0570  0.1139  0.2579  3 O 1.89-2.01
Te  0.9430  0.8861  0.7421  3 O 1.89-2.01
Tm  0.5000  0.0000  0.5000  6 O 2.21-2.30

Output
E_form (uncorrected): -18.23 eV per formula unit

No. 2
This record from the Alexandria database describes a geometry-optimized PmDy2SbO8 structure. The functional is PBE.

a b c (Å): 4.1171 5.2513 7.3852
angles (deg): 90.00 90.00 94.13
With the nearest neighbours (Å) after each atom.
Fractional coordinates of all 12 atoms:
Pm  0.0000  0.0000  0.5000  8 O 2.36-2.56
O  0.5742  0.7850  0.0000  1 Sb 2.02
O  0.5053  0.7442  0.5000  2 Dy 2.28, 2 Pm 2.36-2.56
O  0.4947  0.2558  0.5000  2 Dy 2.28, 2 Pm 2.36-2.56
O  0.0486  0.7553  0.2142  1 Sb 2.06
O  0.9514  0.2447  0.2142  1 Sb 2.06
O  0.9514  0.2447  0.7858  1 Sb 2.06
O  0.0486  0.7553  0.7858  1 Sb 2.06
O  0.4258  0.2150  0.0000  1 Sb 2.02
Dy  0.5000  0.5000  0.2440  8 O 2.28-2.55
Dy  0.5000  0.5000  0.7560  8 O 2.28-2.55
Sb  0.0000  0.0000  0.0000  6 O 2.02-2.06

Output
E_form (uncorrected): -29.53 eV per formula unit

No. 3
This record from the Alexandria database describes a geometry-optimized CrSiPb2 structure. The functional is PBE.

a b c (Å): 8.5384 8.5384 8.5384
angles (deg): 24.77 24.77 24.77
With the nearest neighbours (Å) after each atom.
Fractional coordinates of all 4 atoms:
Si  0.2500  0.2500  0.2500  6 Pb 2.93
Cr  0.7500  0.7500  0.7500  6 Pb 2.98
Pb  0.5015  0.5015  0.5015  3 Si 2.93, 3 Cr 2.98
Pb  0.9985  0.9985  0.9985  3 Si 2.93, 3 Cr 2.98

Output
E_form (uncorrected): 2.72 eV per formula unit

No. 4
This record from the Alexandria database describes a geometry-optimized TeWAu3 structure. The functional is PBE.

a b c (Å): 5.0765 5.0765 5.0765
angles (deg): 90.00 90.00 90.00
With the nearest neighbours (Å) after each atom.
Fractional coordinates of all 5 atoms:
Te  0.5000  0.5000  0.5000  12 Au 3.59
Au  0.0000  0.0000  0.5000  2 W 2.54
Au  0.5000  0.0000  0.0000  2 W 2.54
Au  0.0000  0.5000  0.0000  2 W 2.54
W  0.0000  0.0000  0.0000  6 Au 2.54

Output
E_form (uncorrected): 6.10 eV per formula unit

No. 5
This record from the Alexandria database describes a geometry-optimized Pm6Sn3Rh2 structure. The functional is PBE.

a b c (Å): 4.9648 4.9648 14.2795
angles (deg): 100.01 100.01 90.00
With the nearest neighbours (Å) after each atom.
Fractional coordinates of all 11 atoms:
Pm  0.7160  0.7160  0.4321  1 Rh 2.69
Pm  0.2840  0.2840  0.5679  1 Rh 2.69
Pm  0.4225  0.9225  0.8451  2 Rh 2.74
Pm  0.9225  0.4225  0.8451  2 Rh 2.74
Pm  0.5775  0.0775  0.1549  2 Rh 2.74
Pm  0.0775  0.5775  0.1549  2 Rh 2.74
Sn  0.1686  0.1686  0.3371  5 Pm 3.19-3.54
Sn  0.8314  0.8314  0.6629  5 Pm 3.19-3.54
Sn  0.0000  0.0000  0.0000  8 Pm 3.28
Rh  0.3810  0.3810  0.7620  5 Pm 2.69-2.74
Rh  0.6190  0.6190  0.2380  5 Pm 2.69-2.74

Output
calculated formation energy: -458.5 meV/atom

No. 6
This record from the Alexandria database describes a geometry-optimized BeCuSe2 structure. The functional is PBE.

a b c (Å): 3.6848 3.6848 6.1774
angles (deg): 72.67 72.67 56.22
With the nearest neighbours (Å) after each atom.
Fractional coordinates of all 4 atoms:
Cu  0.2500  0.2500  0.2500  6 Se 2.44-2.71
Se  0.0478  0.0478  0.9823  2 Be 2.35, 1 Cu 2.44
Se  0.4522  0.4522  0.5177  2 Be 2.35, 1 Cu 2.44
Be  0.7500  0.7500  0.7500  4 Se 2.35

Output
E_form (uncorrected): -0.60 eV per formula unit

VASP energy list, top to bottom, in eV/atom: -5.54, -7.27, -4.94, -3.97, -5.48, -3.85
Calculated volume list, top to bottom, in Å³ per cell: 210.34, 159.25, 96.11, 130.82, 341.18, 65.62
D(E_F) list, top to bottom, in states/eV/cell: 1.97, 6.60, 3.15, 5.01, 3.73, 1.08